Entry P
Computed, not measured: a geometry-optimized TlHgOs2 structure at the PBE-GGA level of DFT.

Total moment, μB/f.u.: 0.01
DOS(E_F), states/eV per cell: 4.45

extended XYZ file:
```
4
Lattice="1.496 0.864 9.164 -1.496 0.864 9.164 0.000 -1.727 9.164" Properties=species:S:1:pos:R:3 pbc="T T T"
Tl 0.000 0.000 0.000
Hg 0.000 0.000 13.746
Os 0.000 0.000 6.882
Os 0.000 0.000 20.610
```

---

Entry Q
Computed, not measured: a geometry-optimized TlHgOs2 structure at the PBE-GGA level of DFT.

Total moment, μB/f.u.: 1.50
DOS(E_F), states/eV per cell: 5.39

extended XYZ file:
```
4
Lattice="0.000 3.288 3.288 3.288 0.000 3.288 3.288 3.288 0.000" Properties=species:S:1:pos:R:3 pbc="T T T"
Tl 0.000 0.000 0.000
Hg 3.288 3.288 3.288
Os 1.644 1.644 1.644
Os 4.931 4.931 4.931
```

---

It is entry P that is the most stable of them.

---

Entry P
Computed, not measured: a geometry-optimized TlHgOs2 structure at the PBE-GGA level of DFT.

Total moment, μB/f.u.: 0.00
DOS(E_F), states/eV per cell: 4.32

extended XYZ file:
```
4
Lattice="-2.106 2.106 4.016 2.106 -2.106 4.016 2.106 2.106 -4.016" Properties=species:S:1:pos:R:3 pbc="T T T"
Tl 0.000 0.000 0.000
Hg 2.106 0.000 2.008
Os 0.000 0.000 4.016
Os 0.000 2.106 2.008
```

---

Entry Q
Computed, not measured: a geometry-optimized TlHgOs2 structure at the PBE-GGA level of DFT.

Total moment, μB/f.u.: 1.79
DOS(E_F), states/eV per cell: 5.50

extended XYZ file:
```
4
Lattice="-2.075 2.075 4.168 2.075 -2.075 4.168 2.075 2.075 -4.168" Properties=species:S:1:pos:R:3 pbc="T T T"
Tl 0.000 0.000 0.000
Hg 0.000 0.000 4.168
Os 2.075 0.000 2.084
Os 0.000 2.075 2.084
```

---

It is entry P that is the most stable of them.

---

Entry P
Computed, not measured: a geometry-optimized TlHgOs structure at the PBE-GGA level of DFT.

Total moment, μB/f.u.: 0.82
DOS(E_F), states/eV per cell: 2.57

extended XYZ file:
```
3
Lattice="-1.495 2.031 5.021 1.495 -2.031 5.021 1.495 2.031 -5.021" Properties=species:S:1:pos:R:3 pbc="T T T"
Tl 0.000 0.000 0.000
Hg 0.000 0.000 7.005
Os 0.000 0.000 3.466
```

---

Entry Q
Computed, not measured: a geometry-optimized TlHgOs structure at the PBE-GGA level of DFT.

Total moment, μB/f.u.: 0.93
DOS(E_F), states/eV per cell: 2.74

extended XYZ file:
```
3
Lattice="-1.495 1.495 7.109 1.495 -1.495 7.109 1.495 1.495 -7.109" Properties=species:S:1:pos:R:3 pbc="T T T"
Tl 0.000 0.000 0.000
Hg 0.000 0.000 10.046
Os 0.000 0.000 4.945
```

---

It is entry Q that is the most stable of them.

---

Entry P
Computed, not measured: a geometry-optimized TlHgOs structure at the PBE-GGA level of DFT.

Total moment, μB/f.u.: 0.98
DOS(E_F), states/eV per cell: 2.76

extended XYZ file:
```
3
Lattice="3.045 0.000 0.000 -1.522 2.637 0.000 0.000 0.000 7.697" Properties=species:S:1:pos:R:3 pbc="T T T"
Tl 0.000 0.000 0.000
Hg 0.000 1.758 2.980
Os 1.522 0.879 5.308
```

---

Entry Q
Computed, not measured: a geometry-optimized TlHgOs structure at the PBE-GGA level of DFT.

Total moment, μB/f.u.: 0.00
DOS(E_F), states/eV per cell: 4.31

extended XYZ file:
```
3
Lattice="0.000 3.249 3.249 3.249 0.000 3.249 3.249 3.249 0.000" Properties=species:S:1:pos:R:3 pbc="T T T"
Tl 0.000 0.000 0.000
Hg 3.249 3.249 3.249
Os 4.873 4.873 4.873
```

---

It is entry P that is the most stable of them.

---

Entry P
Computed, not measured: a geometry-optimized YTmHgOs structure at the PBE-GGA level of DFT.

Total moment, μB/f.u.: 0.00
DOS(E_F), states/eV per cell: 3.20

extended XYZ file:
```
4
Lattice="3.446 0.000 0.000 0.000 3.446 0.000 0.000 0.000 7.545" Properties=species:S:1:pos:R:3 pbc="T T T"
Y 0.000 0.000 0.000
Tm 0.000 0.000 4.247
Hg 1.723 1.723 2.169
Os 1.723 1.723 5.850
```

---

Entry Q
Computed, not measured: a geometry-optimized YTmHgOs structure at the PBE-GGA level of DFT.

Total moment, μB/f.u.: 0.00
DOS(E_F), states/eV per cell: 3.47

extended XYZ file:
```
4
Lattice="0.000 3.527 3.527 3.527 0.000 3.527 3.527 3.527 0.000" Properties=species:S:1:pos:R:3 pbc="T T T"
Y 0.000 0.000 0.000
Tm 3.527 3.527 3.527
Hg 1.764 1.764 1.764
Os 5.291 5.291 5.291
```

---

It is entry P that is the most stable of them.

---

Entry P
Computed, not measured: a geometry-optimized VHg2Os structure at the PBE-GGA level of DFT.

Total moment, μB/f.u.: 2.66
DOS(E_F), states/eV per cell: 11.51

extended XYZ file:
```
8
Lattice="-3.801 3.801 2.713 3.801 -3.801 2.713 3.801 3.801 -2.713" Properties=species:S:1:pos:R:3 pbc="T T T"
V 0.000 0.000 0.000
V 0.000 3.801 1.356
Hg 1.901 1.950 -0.678
Hg 5.652 1.901 0.678
Hg 1.901 1.851 2.035
Hg -1.851 1.901 3.391
Os 3.801 0.000 1.356
Os 0.000 0.000 2.713
```

---

Entry Q
Computed, not measured: a geometry-optimized VHg2Os structure at the PBE-GGA level of DFT.

Total moment, μB/f.u.: 0.00
DOS(E_F), states/eV per cell: 3.56

extended XYZ file:
```
4
Lattice="0.000 3.243 3.243 3.243 0.000 3.243 3.243 3.243 0.000" Properties=species:S:1:pos:R:3 pbc="T T T"
V 0.000 0.000 0.000
Hg 1.621 1.621 1.621
Hg 4.864 4.864 4.864
Os 3.243 3.243 3.243
```

---

It is entry Q that is the most stable of them.